# 1
## TlCuPO4 (SCAN)

Data for TlCuPO4 at its PBEsol-relaxed geometry.

```
TlCuPO4
1.0
4.818 -0.077 0.029
-0.084 4.818 0.029
-0.911 -0.912 17.652
O Cu Tl P
16 4 4 4
Direct
0.216 0.530 0.565
0.245 0.947 0.658
0.053 0.755 0.842
0.470 0.784 0.935
0.139 0.470 0.705
0.861 0.530 0.295
0.425 0.380 0.840
0.530 0.861 0.795
0.575 0.620 0.160
0.470 0.139 0.205
0.530 0.216 0.065
0.755 0.053 0.342
0.380 0.425 0.340
0.620 0.575 0.660
0.784 0.470 0.435
0.947 0.245 0.158
0.163 0.333 0.249
0.333 0.163 0.749
0.667 0.837 0.251
0.837 0.667 0.751
0.191 0.790 0.061
0.809 0.210 0.939
0.210 0.809 0.439
0.790 0.191 0.561
0.307 0.636 0.644
0.636 0.307 0.144
0.364 0.693 0.856
0.693 0.364 0.356
```


# 2
## TlCu2PO (SCAN)

Data for TlCu2PO at its PBEsol-relaxed geometry.

```
TlCu2PO
1.0
3.950 0.000 0.000
0.000 4.919 0.000
0.000 0.000 4.919
P Cu O Tl
1 2 1 1
Direct
0.500 0.500 0.500
0.000 0.000 0.500
0.000 0.500 0.000
0.500 0.000 0.000
0.000 0.000 0.000
```

Values from the calculation:
- DOS at the Fermi energy (states/eV/cell) = 2.09


# 3
## V2CuP3O12 (SCAN)

Data for V2CuP3O12 at its PBEsol-relaxed geometry.

```
V2CuP3O12
1.0
8.485 0.000 0.000
4.242 7.348 0.000
4.242 2.449 6.855
O V P Cu
24 4 6 2
Direct
0.310 0.499 0.066
0.375 0.001 0.434
0.190 0.375 0.434
0.690 0.501 0.934
0.943 0.084 0.237
0.625 0.999 0.566
0.125 0.310 0.066
0.764 0.416 0.263
0.084 0.736 0.237
0.416 0.557 0.263
0.001 0.190 0.434
0.810 0.625 0.566
0.736 0.943 0.237
0.916 0.264 0.763
0.264 0.057 0.763
0.236 0.584 0.737
0.057 0.916 0.763
0.499 0.125 0.066
0.999 0.810 0.566
0.501 0.875 0.934
0.443 0.236 0.737
0.557 0.764 0.263
0.875 0.690 0.934
0.584 0.443 0.737
0.359 0.359 0.922
0.141 0.141 0.578
0.859 0.859 0.422
0.641 0.641 0.078
0.540 0.960 0.250
0.040 0.750 0.750
0.460 0.040 0.750
0.750 0.460 0.750
0.960 0.250 0.250
0.250 0.540 0.250
0.000 0.000 0.000
0.500 0.500 0.500
```

Values from the calculation:
- DOS at the Fermi energy (states/eV/cell) = 12.76


no.,ΔE_f (raw) (eV per atom)
1,-1.745
2,1.175
3,-2.344